(i)
This record from Alexandria describes a geometry-optimized ZrScH structure. The functional is PBE-GGA.

Cell: 4.320 4.328 5.124 Å, 90.00 90.00 90.00°
Space group Pmmn (No. 59, origin choice 2)
One atom of each set of equivalent atoms:
Zr 0.250 0.250 0.040 [2 per cell]
Sc 0.250 0.750 0.499 [2 per cell]
H 0.250 0.250 0.443 [2 per cell]

---

(ii)
This record from Alexandria describes a geometry-optimized ZrScH structure. The functional is PBE-GGA.

Cell: 5.326 3.040 11.959 Å, 90.00 90.00 90.00°
Space group Pnma (No. 62)
One atom of each set of equivalent atoms:
Zr 0.235 0.250 0.185 [4 per cell]
Sc 0.246 0.250 0.445 [4 per cell]
H 0.078 0.250 0.816 [4 per cell]

---

The structure with the most favorable energy is (i); the runner-up is 159 meV/atom above it.

---

(i)
This record from Alexandria describes a geometry-optimized Zr2ScH structure. The functional is PBE-GGA.

Cell: 6.732 6.732 6.732 Å, 90.00 90.00 90.00°
Space group Fm-3m (No. 225)
One atom of each set of equivalent atoms:
Zr 0.250 0.250 0.250 [8 per cell]
Sc 0.000 0.000 0.000 [4 per cell]
H 0.000 0.000 0.500 [4 per cell]

---

(ii)
This record from Alexandria describes a geometry-optimized Zr2ScH structure. The functional is PBE-GGA.

Cell: 6.242 6.242 8.115 Å, 90.00 90.00 90.00°
Space group I-42d (No. 122)
One atom of each set of equivalent atoms:
Zr 0.086 0.250 0.125 [8 per cell]
Sc 0.000 0.000 0.500 [4 per cell]
H 0.000 0.000 0.000 [4 per cell]

---

(iii)
This record from Alexandria describes a geometry-optimized Zr2ScH structure. The functional is PBE-GGA.

Cell: 3.1401 3.1401 25.5633 Å, 90.00 90.00 120.00°
Space group R-3m (No. 166, hexagonal axes)
One atom of each set of equivalent atoms:
Zr 0.0000 0.0000 0.1136 [6 per cell]
Sc 0.0000 0.0000 0.0000 [3 per cell]
H 0.0000 0.0000 0.5000 [3 per cell]

---

The structure with the most favorable energy is (iii); the runner-up is 7 meV/atom above it.

---

(i)
This record from Alexandria describes a geometry-optimized HSe structure. The functional is PBE-GGA.

Cell: 3.970 7.573 4.602 Å, 90.00 90.00 90.00°
Space group Cmcm (No. 63)
One atom of each set of equivalent atoms:
H 0.000 0.071 0.250 [4 per cell]
Se 0.000 0.267 0.250 [4 per cell]

---

(ii)
This record from Alexandria describes a geometry-optimized HSe structure. The functional is PBE-GGA.

Cell: 3.0685 3.0685 8.0696 Å, 90.00 90.00 120.00°
Space group P6_3mc (No. 186)
One atom of each set of equivalent atoms:
H 0.3333 0.6667 0.0000 [2 per cell]
Se 0.3333 0.6667 0.4158 [2 per cell]

---

(iii)
This record from Alexandria describes a geometry-optimized HSe structure. The functional is PBE-GGA.

Cell: 4.549 4.549 4.549 Å, 90.00 90.00 90.00°
Space group Fm-3m (No. 225)
One atom of each set of equivalent atoms:
H 0.000 0.000 0.000 [4 per cell]
Se 0.000 0.000 0.500 [4 per cell]

---

(iv)
This record from Alexandria describes a geometry-optimized HSe structure. The functional is PBE-GGA.

Cell: 8.809 8.809 3.282 Å, 90.00 90.00 90.00°
Space group P4/m (No. 83)
One atom of each set of equivalent atoms:
H 0.048 0.236 0.000 [4 per cell]
H 0.289 0.580 0.500 [4 per cell]
Se 0.022 0.767 0.500 [4 per cell]
Se 0.213 0.578 0.000 [4 per cell]

---

The structure with the most favorable energy is (i); the runner-up is 239 meV/atom above it.

---

(i)
This record from Alexandria describes a geometry-optimized HSe structure. The functional is PBE-GGA.

Cell: 4.594 9.367 12.850 Å, 90.00 90.00 90.00°
Space group Fddd (No. 70, origin choice 2)
One atom of each set of equivalent atoms:
H 0.125 0.348 0.125 [16 per cell]
Se 0.125 0.125 0.479 [16 per cell]

---

(ii)
This record from Alexandria describes a geometry-optimized HSe structure. The functional is PBE-GGA.

Cell: 3.059 3.317 7.646 Å, 90.00 90.00 90.00°
Space group Pmmm (No. 47)
One atom of each set of equivalent atoms:
H 0.000 0.000 0.049 [2 per cell]
Se 0.500 0.500 0.355 [2 per cell]

---

The structure with the most favorable energy is (ii); the runner-up is 69 meV/atom above it.

---

(i)
This record from Alexandria describes a geometry-optimized HSe structure. The functional is PBE-GGA.

Cell: 4.317 4.425 5.237 Å, 108.58 94.85 114.14°
Space group P1 (No. 1)
One atom of each set of equivalent atoms:
H 0.000 0.000 0.000 [1 per cell]
H 0.387 0.819 0.354 [1 per cell]
Se 0.571 0.592 0.306 [1 per cell]
Se 0.697 0.628 0.868 [1 per cell]

---

(ii)
This record from Alexandria describes a geometry-optimized HSe structure. The functional is PBE-GGA.

Cell: 3.633 8.527 6.673 Å, 90.00 90.00 90.00°
Space group Pmmn (No. 59, origin choice 2)
One atom of each set of equivalent atoms:
H 0.250 0.116 0.213 [4 per cell]
H 0.250 0.750 0.933 [2 per cell]
Se 0.250 0.250 0.056 [2 per cell]
Se 0.250 0.607 0.423 [4 per cell]

---

(iii)
This record from Alexandria describes a geometry-optimized HSe structure. The functional is PBE-GGA.

Cell: 7.880 4.207 8.949 Å, 90.00 90.00 90.00°
Space group Pmn2_1 (No. 31)
One atom of each set of equivalent atoms:
H 0.000 0.117 0.000 [2 per cell]
H 0.183 0.899 0.724 [4 per cell]
Se 0.000 0.798 0.072 [2 per cell]
Se 0.176 0.206 0.641 [4 per cell]

---

(iv)
This record from Alexandria describes a geometry-optimized HSe structure. The functional is PBE-GGA.

Cell: 10.863 10.863 2.666 Å, 90.00 90.00 90.00°
Space group I4/m (No. 87)
One atom of each set of equivalent atoms:
H 0.115 0.658 0.000 [8 per cell]
Se 0.023 0.761 0.000 [8 per cell]

---

The structure with the most favorable energy is (i); the runner-up is 60 meV/atom above it.

---

(i)
This record from Alexandria describes a geometry-optimized HSe structure. The functional is PBE-GGA.

Cell: 4.245 4.684 4.855 Å, 65.17 76.33 83.41°
Space group P-1 (No. 2)
One atom of each set of equivalent atoms:
H 0.227 0.121 0.196 [2 per cell]
Se 0.436 0.273 0.301 [2 per cell]

---

(ii)
This record from Alexandria describes a geometry-optimized HSe structure. The functional is PBE-GGA.

Cell: 7.532 5.795 5.391 Å, 90.00 124.41 90.00°
Space group C2 (No. 5)
One atom of each set of equivalent atoms:
H 0.198 0.000 0.443 [4 per cell]
Se 0.034 0.192 0.307 [4 per cell]

---

The structure with the most favorable energy is (ii); the runner-up is 27 meV/atom above it.

---

(i)
This record from Alexandria describes a geometry-optimized HSe structure. The functional is PBE-GGA.

Cell: 2.702 4.397 6.589 Å, 90.00 90.00 90.00°
Space group Imm2 (No. 44)
One atom of each set of equivalent atoms:
H 0.000 0.000 0.000 [2 per cell]
Se 0.000 0.000 0.774 [2 per cell]

---

(ii)
This record from Alexandria describes a geometry-optimized HSe structure. The functional is PBE-GGA.

Cell: 5.772 5.772 5.772 Å, 90.00 90.00 90.00°
Space group Pm-3n (No. 223)
One atom of each set of equivalent atoms:
H 0.000 0.250 0.500 [6 per cell]
Se 0.000 0.500 0.250 [6 per cell]

---

(iii)
This record from Alexandria describes a geometry-optimized HSe structure. The functional is PBE-GGA.

Cell: 4.713 4.713 4.713 Å, 90.00 90.00 90.00°
Space group F-43m (No. 216)
One atom of each set of equivalent atoms:
H 0.000 0.000 0.000 [4 per cell]
Se 0.250 0.250 0.750 [4 per cell]

---

The structure with the most favorable energy is (i); the runner-up is 583 meV/atom above it.

---

(i)
This record from Alexandria describes a geometry-optimized HSe structure. The functional is PBE-GGA.

Cell: 10.4586 10.4586 2.6806 Å, 90.00 90.00 120.00°
Space group P6_3/m (No. 176)
One atom of each set of equivalent atoms:
H 0.1372 0.3496 0.2500 [6 per cell]
Se 0.1217 0.6976 0.2500 [6 per cell]

---

(ii)
This record from Alexandria describes a geometry-optimized HSe structure. The functional is PBE-GGA.

Cell: 5.128 7.874 8.054 Å, 90.00 90.00 90.00°
Space group P2_12_12_1 (No. 19)
One atom of each set of equivalent atoms:
H 0.065 0.017 0.471 [4 per cell]
H 0.148 0.686 0.388 [4 per cell]
Se 0.104 0.497 0.397 [4 per cell]
Se 0.198 0.004 0.863 [4 per cell]

---

The structure with the most favorable energy is (ii); the runner-up is 128 meV/atom above it.